Compound: Tm2GeHPt6
Source: Alexandria
Functional: PBE-GGA
Structure: relaxed

Cell lengths 5.6298, 5.6298, 6.9122 Å; angles 114.15, 114.15, 59.91 degrees
Fractional coordinates of all 10 atoms:
Tm: 0.2137 0.2137 0.1417
Tm: 0.7863 0.7863 0.8583
Ge: 0.5000 0.5000 0.0000
H: 0.0000 0.0000 0.5000
Pt: 0.2320 0.2320 0.6956
Pt: 0.2319 0.7329 0.6962
Pt: 0.2671 0.7681 0.3038
Pt: 0.7329 0.2319 0.6962
Pt: 0.7681 0.2671 0.3038
Pt: 0.7680 0.7680 0.3044

## Properties
For the calculated density, the calculation gives 15.72 Mg/m³. The energy is -61.42 eV per cell.



Compound: SrTb4ScS8
Source: Alexandria
Functional: PBE-GGA
Structure: relaxed

Cell lengths 8.0479, 8.0479, 8.0479 Å; angles 61.06, 61.06, 61.06 degrees
Fractional coordinates of all 14 atoms:
Sr: 0.0000 0.0000 0.0000
Tb: 0.1151 0.6233 0.6233
Tb: 0.2442 0.2442 0.2442
Tb: 0.6233 0.1151 0.6233
Tb: 0.6233 0.6233 0.1151
Sc: 0.6237 0.6237 0.6237
S: 0.3783 0.3783 0.3783
S: 0.3848 0.3848 0.8445
S: 0.3848 0.8445 0.3848
S: 0.4168 0.8487 0.8487
S: 0.8445 0.3848 0.3848
S: 0.8487 0.4168 0.8487
S: 0.8487 0.8487 0.4168
S: 0.8585 0.8585 0.8585

## Properties
For the calculated density, the calculation gives 4.51 Mg/m³. For the uncorrected formation energy, the calculation gives -1960 meV/atom.



Compound: Mg2ScBr6
Source: Alexandria
Functional: PBE-GGA
Structure: relaxed

Cell lengths 7.9275, 7.9275, 10.3327 Å; angles 111.35, 111.35, 27.99 degrees
Fractional coordinates of all 9 atoms:
Mg: 0.1691 0.1691 0.3348
Mg: 0.8309 0.8309 0.6652
Sc: 0.5000 0.5000 0.0000
Br: 0.1399 0.1399 0.0592
Br: 0.1997 0.1997 0.6117
Br: 0.4628 0.4628 0.7160
Br: 0.5372 0.5372 0.2840
Br: 0.8003 0.8003 0.3883
Br: 0.8601 0.8601 0.9408

## Properties
For the calculated density, the calculation gives 3.37 Mg/m³. For the uncorrected formation energy, the calculation gives -1470 meV/atom.



Compound: Zn2CuP
Source: Alexandria
Functional: PBE-GGA
Structure: relaxed

Cell lengths 3.6002, 4.0039, 7.9036 Å; angles 90.00, 90.00, 90.00 degrees
Fractional coordinates of all 8 atoms:
Zn: 0.0000 0.0000 0.2298
Zn: 0.0000 0.0000 0.7702
Zn: 0.5000 0.5000 0.2298
Zn: 0.5000 0.5000 0.7702
Cu: 0.0000 0.5000 0.0000
Cu: 0.5000 0.0000 0.0000
P: 0.0000 0.5000 0.5000
P: 0.5000 0.0000 0.5000

## Properties
For the calculated density, the calculation gives 6.57 Mg/m³. For the energy of formation, the calculation gives 0.161 eV per atom.



Compound: NaHfNF2
Source: Alexandria
Functional: PBE-GGA
Structure: relaxed

Cell lengths 3.6402, 3.6402, 4.5532 Å; angles 90.00, 90.00, 90.00 degrees
Fractional coordinates of all 5 atoms:
Na: 0.0000 0.0000 0.0000
Hf: 0.5000 0.5000 0.5000
N: 0.0000 0.0000 0.5000
F: 0.0000 0.5000 0.0000
F: 0.5000 0.0000 0.0000

## Properties
For the calculated density, the calculation gives 6.98 Mg/m³. For the uncorrected formation energy, the calculation gives -1021 meV/atom. The calculation puts the energy above the most stable polymorph in this dataset at 1185 meV/atom.



Compound: Na2YIn2
Source: Alexandria
Functional: PBE-GGA
Structure: relaxed

Cell lengths 8.7287, 8.7287, 3.7110 Å; angles 90.00, 90.00, 90.00 degrees
Fractional coordinates of all 10 atoms:
Na: 0.1646 0.3354 0.0000
Na: 0.3354 0.8354 0.0000
Na: 0.6646 0.1646 0.0000
Na: 0.8354 0.6646 0.0000
Y: 0.0000 0.0000 0.5000
Y: 0.5000 0.5000 0.5000
In: 0.1330 0.6330 0.5000
In: 0.3670 0.1330 0.5000
In: 0.6330 0.8670 0.5000
In: 0.8670 0.3670 0.5000

## Properties
For the calculated density, the calculation gives 4.28 Mg/m³. For the energy of formation, the calculation gives -0.007 eV per atom. The calculation puts the energy above the most stable polymorph in this dataset at 99 meV/atom.



Compound: TcAu3Cl
Source: Alexandria
Functional: PBE-GGA
Structure: relaxed

Cell lengths 5.0497, 5.0497, 5.0497 Å; angles 90.00, 90.00, 90.00 degrees
Fractional coordinates of all 5 atoms:
Tc: 0.0000 0.0000 0.0000
Au: 0.0000 0.0000 0.5000
Au: 0.0000 0.5000 0.0000
Au: 0.5000 0.0000 0.0000
Cl: 0.5000 0.5000 0.5000

## Properties
For the calculated density, the calculation gives 9.34 Mg/m³. For the uncorrected formation energy, the calculation gives 1199 meV/atom. The calculation puts the energy above the most stable polymorph in this dataset at 0 meV/atom.



Compound: SrSiS2N
Source: Alexandria
Functional: PBE-GGA
Structure: relaxed

Cell lengths 4.9996, 4.9996, 3.4458 Å; angles 90.00, 90.00, 90.00 degrees
Fractional coordinates of all 5 atoms:
Sr: 0.0000 0.0000 0.0000
Si: 0.5000 0.5000 0.5000
S: 0.0000 0.5000 0.5000
S: 0.5000 0.0000 0.5000
N: 0.5000 0.5000 0.0000

## Properties
For the calculated density, the calculation gives 3.74 Mg/m³. For the uncorrected formation energy, the calculation gives -622 meV/atom. The calculation puts the energy above the most stable polymorph in this dataset at 0 meV/atom.



Compound: AlSi2Pd
Source: Alexandria
Functional: PBE-GGA
Structure: relaxed

Cell lengths 5.6217, 5.6217, 11.0456 Å; angles 90.00, 90.00, 90.00 degrees
Fractional coordinates of all 16 atoms:
Al: 0.0000 0.0000 0.0000
Al: 0.0000 0.5000 0.2500
Al: 0.5000 0.0000 0.7500
Al: 0.5000 0.5000 0.5000
Si: 0.2272 0.2500 0.6250
Si: 0.2500 0.7272 0.8750
Si: 0.2500 0.7728 0.3750
Si: 0.2728 0.2500 0.1250
Si: 0.7272 0.7500 0.1250
Si: 0.7500 0.2272 0.3750
Si: 0.7500 0.2728 0.8750
Si: 0.7728 0.7500 0.6250
Pd: 0.0000 0.0000 0.5000
Pd: 0.0000 0.5000 0.7500
Pd: 0.5000 0.0000 0.2500
Pd: 0.5000 0.5000 0.0000

## Properties
For the calculated density, the calculation gives 3.61 Mg/m³. For the uncorrected formation energy, the calculation gives 227 meV/atom.



Compound: BaNaInGa
Source: Alexandria
Functional: PBE-GGA
Structure: relaxed

Cell lengths 7.7355, 7.7355, 7.7355 Å; angles 90.00, 90.00, 90.00 degrees
Fractional coordinates of all 16 atoms:
Ba: 0.0000 0.0000 0.0000
Ba: 0.0000 0.5000 0.5000
Ba: 0.5000 0.0000 0.5000
Ba: 0.5000 0.5000 0.0000
Na: 0.2500 0.2500 0.2500
Na: 0.2500 0.7500 0.7500
Na: 0.7500 0.2500 0.7500
Na: 0.7500 0.7500 0.2500
In: 0.0000 0.0000 0.5000
In: 0.0000 0.5000 0.0000
In: 0.5000 0.0000 0.0000
In: 0.5000 0.5000 0.5000
Ga: 0.2500 0.2500 0.7500
Ga: 0.2500 0.7500 0.2500
Ga: 0.7500 0.2500 0.2500
Ga: 0.7500 0.7500 0.7500

## Properties
For the calculated density, the calculation gives 4.95 Mg/m³. For the energy of formation, the calculation gives -0.211 eV per atom.



Compound: FeHg
Source: Alexandria
Functional: PBE-GGA
Structure: relaxed

Cell lengths 3.0335, 4.7114, 9.4777 Å; angles 90.00, 90.00, 90.00 degrees
Fractional coordinates of all 8 atoms:
Fe: 0.0000 0.2500 0.1533
Fe: 0.0000 0.7500 0.8467
Fe: 0.5000 0.2500 0.3467
Fe: 0.5000 0.7500 0.6533
Hg: 0.0000 0.2500 0.6091
Hg: 0.0000 0.7500 0.3909
Hg: 0.5000 0.2500 0.8909
Hg: 0.5000 0.7500 0.1091

## Properties
For the calculated density, the calculation gives 12.57 Mg/m³. For the energy of formation, the calculation gives 0.410 eV per atom.



Compound: Nd3AsSe6
Source: Alexandria
Functional: PBE-GGA
Structure: relaxed

Cell lengths 9.1151, 9.1151, 7.1498 Å; angles 90.00, 90.00, 102.59 degrees
Fractional coordinates of all 20 atoms:
Nd: 0.0988 0.9012 0.5000
Nd: 0.2190 0.4171 0.5992
Nd: 0.4171 0.2190 0.0992
Nd: 0.5829 0.7810 0.5992
Nd: 0.7810 0.5829 0.0992
Nd: 0.9012 0.0988 0.0000
As: 0.3199 0.6801 0.1268
As: 0.6801 0.3199 0.6268
Se: 0.0803 0.5966 0.2971
Se: 0.1340 0.1930 0.2995
Se: 0.1930 0.1340 0.7995
Se: 0.2690 0.7310 0.7601
Se: 0.4034 0.9197 0.2971
Se: 0.4838 0.5162 0.3434
Se: 0.5162 0.4838 0.8434
Se: 0.5966 0.0803 0.7971
Se: 0.7310 0.2690 0.2601
Se: 0.8070 0.8660 0.2995
Se: 0.8660 0.8070 0.7995
Se: 0.9197 0.4034 0.7971

## Properties
For the calculated density, the calculation gives 5.62 Mg/m³. For the uncorrected formation energy, the calculation gives -1412 meV/atom.